A plane-wave DFT calculation with PBE with a Hubbard U was carried out for an optimized crystal structure of Rb2VRuF6.

Computed properties:
The calculation puts the spin magnetization at 2.90 μB per formula unit. Its space-group type is Fm-3m (225). The energy comes out at -52.150 eV/cell.

Cell: 6.0284 6.0284 6.0282 Å, 60.00 60.00 90.00°
Closest atoms and distances in Å follow each position.
Fractional positions:
Ru (0.0000, 0.0000, 0.0000)  6 F 2.14
V (0.5000, 0.5000, 0.0000)  6 F 2.12
F (0.2509, 0.2509, 0.4982)  1 V 2.12, 1 Ru 2.14
F (0.7491, 0.7491, 0.0000)  1 V 2.12, 1 Ru 2.14
F (0.2509, 0.2509, 0.0000)  1 V 2.12, 1 Ru 2.14
F (0.7491, 0.2509, 0.0000)  1 V 2.12, 1 Ru 2.14
F (0.7491, 0.7491, 0.5018)  1 V 2.12, 1 Ru 2.14
F (0.2509, 0.7491, 0.0000)  1 V 2.12, 1 Ru 2.14
Rb (0.2500, 0.7500, 0.5000)  12 F 3.01
Rb (0.7500, 0.2500, 0.5000)  12 F 3.01